1.
VASP calculation (meta-GGA SCAN) on a PBEsol-optimized structure of La2AuSe.

Cell and atoms, written as extended XYZ:
```
4
Lattice="-0.2447 2.5873 4.0583 1.0750 -2.5082 4.5251 4.5617 1.1289 2.4165" Properties=species:S:1:pos:R:3 pbc="T T T"
La 4.1777 -0.3953 6.2264
Se -0.1223 1.2936 2.0291
La 1.2144 1.6033 4.7736
Au 2.8184 -0.6896 3.4708
```

Properties
formation energy (no corrections) = -1.296 eV/atom
D(E_F) = 4.34 states/eV per cell
offset from the most stable computed form = 296 meV per atom
symmetry = Immm (71)
final energy = -45.1571 eV per atom
crystal system = orthorhombic
calculated volume = 25.2 Å³ per atom



2.
VASP calculation (meta-GGA SCAN) on a PBEsol-optimized structure of LaSi2Au.

Cell and atoms, written as extended XYZ:
```
4
Lattice="3.2811 0.0000 0.0000 0.0000 3.5602 0.0000 0.0000 0.0000 6.6485" Properties=species:S:1:pos:R:3 pbc="T T T"
Si 1.6406 1.7801 1.5659
La 1.6406 1.7801 5.0337
Au 0.0000 0.0000 2.9533
Si 0.0000 0.0000 0.4199
```

Properties
formation energy (no corrections) = -0.279 eV/atom
D(E_F) = 2.21 states/eV per cell
symmetry = Pmm2 (25)
final energy = -33.3526 eV per atom
crystal system = orthorhombic
calculated volume = 19.4 Å³ per atom



3.
VASP calculation (meta-GGA SCAN) on a PBEsol-optimized structure of LaSiAu3.

Cell and atoms, written as extended XYZ:
```
5
Lattice="-1.6582 -2.5930 3.6682 4.4911 -0.8749 1.4117 -0.0942 3.9293 2.7350" Properties=species:S:1:pos:R:3 pbc="T T T"
La 1.3693 0.2307 3.9074
Au -0.0471 1.9647 1.3675
Au 2.2455 -0.4375 0.7059
Si 0.0000 0.0000 0.0000
Au -0.8291 -1.2965 1.8341
```

Properties
formation energy (no corrections) = -0.610 eV/atom
D(E_F) = 2.22 states/eV per cell
symmetry = Pm-3m (221)
final energy = -52.7282 eV per atom
crystal system = cubic
calculated volume = 22.0 Å³ per atom



> The highest formation energy (no corrections) belongs to which entry?

LaSi2Au



> Which of these has the highest calculated volume?

La2AuSe



> Which value of final energy does entry 1 give?

-45.1571 eV per atom